No. 1
The following is a PBE calculation of a relaxed Pu2Ni3Pt crystal, from the Alexandria database.

Lattice parameters (Å, degrees): 5.194 5.194 5.194 59.29 59.29 59.29
Sites, in units of the cell vectors:
Pu  0.123  0.123  0.123
Pu  0.877  0.877  0.877
Ni  0.000  0.500  0.500
Ni  0.500  0.000  0.500
Ni  0.500  0.500  0.000
Pt  0.500  0.500  0.500

## Properties
SG   R-3m (166)
Density of states at the Fermi level   2.9290 states/eV/atom
Magnetic moment   10.28 Bohr magnetons per cell
Formation enthalpy at 0 K   -0.446 eV/atom


No. 2
The following is a PBE calculation of a relaxed LaPrErPb crystal, from the Alexandria database.

Lattice parameters (Å, degrees): 5.653 5.653 5.653 60.00 60.00 60.00
Sites, in units of the cell vectors:
La  0.000  0.000  0.000
Pr  0.500  0.500  0.500
Er  0.750  0.750  0.750
Pb  0.250  0.250  0.250

## Properties
SG   F-43m (216)
Density of states at the Fermi level   1.8031 states/eV/atom
Magnetic moment   0.00 Bohr magnetons per cell
Formation enthalpy at 0 K   -0.167 eV/atom